Material: AcMg2Ag
Method: DFT, PBE
State: relaxed

N(E_F)   0.521 states/eV/atom
Energy above the most stable polymorph in this dataset   0.000 eV per atom
Theoretical density   5.88 g/cm³
Symmetry   Cmcm, No. 63
Size of the total moment   0.000 μB/f.u.
V   27.09 Å³/atom
Energy of formation from the pure elements   -0.228 eV/atom
VASP energy   -0.203 Ry per atom

a b c (Å): 6.0185 6.0185 8.2772
angles (deg): 90.00 90.00 133.70
Positions (direct):
Ac 0.0596 0.9404 0.7500
Ac 0.9404 0.0596 0.2500
Mg 0.3489 0.6511 0.5569
Mg 0.3489 0.6511 0.9431
Mg 0.6511 0.3489 0.0569
Mg 0.6511 0.3489 0.4431
Ag 0.2270 0.7730 0.2500
Ag 0.7730 0.2270 0.7500